1.
The following is a meta-GGA SCAN calculation of a crystal of NdMgTl2 relaxed with PBEsol, from the Alexandria database.

Results
calculated total energy: -48.749 eV/atom

Unit cell a=7.453 b=7.453 c=7.453 alpha=90.00 beta=90.00 gamma=90.00
Space group Fm-3m (No. 225)
Asymmetric unit:
Nd 0.000 0.000 0.000 [4 per cell]
Mg 0.000 0.000 0.500 [4 per cell]
Tl 0.250 0.250 0.250 [8 per cell]

2.
The following is a meta-GGA SCAN calculation of a crystal of SrLa2Os relaxed with PBEsol, from the Alexandria database.

Results
calculated total energy: -45.141 eV/atom

Unit cell a=3.535 b=3.535 c=10.406 alpha=90.00 beta=90.00 gamma=90.00
Space group P4/mmm (No. 123)
Asymmetric unit:
Sr 0.000 0.000 0.000 [1 per cell]
La 0.500 0.500 0.338 [2 per cell]
Os 0.000 0.000 0.500 [1 per cell]